A relaxed Zn2CuSb crystal. Source: Alexandria, functional PBE-GGA.

Cell and atoms, written as POSCAR:
```
Zn2CuSb
1.0
-0.7109 -3.7089 2.0042
3.9831 0.0364 1.4801
-0.6613 2.0789 3.6125
Sb Zn Cu
1 2 1
Direct
0.5000 0.7500 0.7500
0.0000 0.0426 0.0467
0.0000 0.4574 0.4533
0.5000 0.2500 0.2500
```

Computed properties:
For the electronic total energy, the calculation gives -2.536 eV per atom. As for the mass density: 6.9 Mg/m³. Its space-group type is P2/m (10).